Here is a relaxed structure of Li2LaTc from Alexandria. Energies are from PBE.

```
data_Li2LaTc
_chemical_formula_sum 'Li2 La1 Tc1'
_space_group_name_H-M_alt 'P 1'
_space_group_IT_number 1
_cell_length_a 9.447
_cell_length_b 9.447
_cell_length_c 9.447
_cell_angle_alpha 20.46
_cell_angle_beta 20.46
_cell_angle_gamma 20.46
loop_
_space_group_symop_operation_xyz
'x,y,z'
loop_
_atom_site_label
_atom_site_fract_x
_atom_site_fract_y
_atom_site_fract_z
Li1 0.000 0.000 0.000
Li2 0.250 0.250 0.250
La1 0.777 0.777 0.777
Tc1 0.515 0.515 0.515
```

Computed properties:
DOS(E_F) = 0.788 states/eV per atom
size of the total moment = 0.0 μB/f.u.
crystal system = trigonal
DFT formation energy = 0.4255 eV per atom